<a>
A plane-wave DFT calculation with PBE was carried out for LiNiGeMo after structural relaxation.

Properties
space-group type = No. 216
crystal system = cubic

```
LiNiGeMo
1.0
0.0000 2.9641 2.9641
2.9641 0.0000 2.9641
2.9641 2.9641 0.0000
Li Ni Ge Mo
1 1 1 1
Cartesian
0.0000 0.0000 0.0000 Li
4.4462 4.4462 4.4462 Ni
2.9641 2.9641 2.9641 Ge
1.4821 1.4821 1.4821 Mo
```

---

<b>
A plane-wave DFT calculation with PBE was carried out for LiNiGeMo after structural relaxation.

Properties
space-group type = No. 216
crystal system = cubic

```
LiNiGeMo
1.0
0.0000 2.9742 2.9742
2.9742 0.0000 2.9742
2.9742 2.9742 0.0000
Li Ni Ge Mo
1 1 1 1
Cartesian
0.0000 0.0000 0.0000 Li
2.9742 2.9742 2.9742 Ni
1.4871 1.4871 1.4871 Ge
4.4613 4.4613 4.4613 Mo
```

---

<a> (82 meV per atom below the next structure)

---

<a>
A plane-wave DFT calculation with PBE was carried out for LiTlNiGe after structural relaxation.

Properties
space-group type = No. 216
crystal system = cubic

```
LiTlNiGe
1.0
0.0000 3.2723 3.2723
3.2723 0.0000 3.2723
3.2723 3.2723 0.0000
Li Tl Ni Ge
1 1 1 1
Cartesian
0.0000 0.0000 0.0000 Li
3.2723 3.2723 3.2723 Tl
1.6362 1.6362 1.6362 Ni
4.9085 4.9085 4.9085 Ge
```

---

<b>
A plane-wave DFT calculation with PBE was carried out for LiTlNiGe after structural relaxation.

Properties
space-group type = No. 216
crystal system = cubic

```
LiTlNiGe
1.0
0.0000 3.1899 3.1899
3.1899 0.0000 3.1899
3.1899 3.1899 0.0000
Li Tl Ni Ge
1 1 1 1
Cartesian
0.0000 0.0000 0.0000 Li
4.7849 4.7849 4.7849 Tl
3.1899 3.1899 3.1899 Ni
1.5950 1.5950 1.5950 Ge
```

---

<b> (249 meV per atom below the next structure)

---

<a>
A plane-wave DFT calculation with PBE was carried out for LiGeSbOs after structural relaxation.

Properties
space-group type = No. 216
crystal system = cubic

```
LiGeSbOs
1.0
0.0000 3.1877 3.1877
3.1877 0.0000 3.1877
3.1877 3.1877 0.0000
Li Ge Sb Os
1 1 1 1
Cartesian
0.0000 0.0000 0.0000 Li
4.7816 4.7816 4.7816 Ge
1.5939 1.5939 1.5939 Sb
3.1877 3.1877 3.1877 Os
```

---

<b>
A plane-wave DFT calculation with PBE was carried out for LiGeSbOs after structural relaxation.

Properties
space-group type = No. 216
crystal system = cubic

```
LiGeSbOs
1.0
0.0000 3.2296 3.2296
3.2296 0.0000 3.2296
3.2296 3.2296 0.0000
Li Ge Sb Os
1 1 1 1
Cartesian
0.0000 0.0000 0.0000 Li
3.2296 3.2296 3.2296 Ge
1.6148 1.6148 1.6148 Sb
4.8443 4.8443 4.8443 Os
```

---

<a> (484 meV per atom below the next structure)

---

<a>
A plane-wave DFT calculation with PBE was carried out for LiYGePt after structural relaxation.

Properties
space-group type = No. 216
crystal system = cubic

```
LiYGePt
1.0
0.0000 3.2646 3.2646
3.2646 0.0000 3.2646
3.2646 3.2646 0.0000
Li Y Ge Pt
1 1 1 1
Cartesian
0.0000 0.0000 0.0000 Li
4.8969 4.8969 4.8969 Y
1.6323 1.6323 1.6323 Ge
3.2646 3.2646 3.2646 Pt
```

---

<b>
A plane-wave DFT calculation with PBE was carried out for LiYGePt after structural relaxation.

Properties
space-group type = No. 216
crystal system = cubic

```
LiYGePt
1.0
0.0000 3.3466 3.3466
3.3466 0.0000 3.3466
3.3466 3.3466 0.0000
Li Y Ge Pt
1 1 1 1
Cartesian
0.0000 0.0000 0.0000 Li
3.3466 3.3466 3.3466 Y
5.0199 5.0199 5.0199 Ge
1.6733 1.6733 1.6733 Pt
```

---

<a> (147 meV per atom below the next structure)

---

<a>
A plane-wave DFT calculation with PBE was carried out for LiReGeW after structural relaxation.

Properties
space-group type = No. 216
crystal system = cubic

```
LiReGeW
1.0
0.0000 3.0286 3.0286
3.0286 0.0000 3.0286
3.0286 3.0286 0.0000
Li Re Ge W
1 1 1 1
Cartesian
0.0000 0.0000 0.0000 Li
1.5143 1.5143 1.5143 Re
3.0286 3.0286 3.0286 Ge
4.5429 4.5429 4.5429 W
```

---

<b>
A plane-wave DFT calculation with PBE was carried out for LiReGeW after structural relaxation.

Properties
space-group type = No. 216
crystal system = cubic

```
LiReGeW
1.0
0.0000 3.0502 3.0502
3.0502 0.0000 3.0502
3.0502 3.0502 0.0000
Li Re Ge W
1 1 1 1
Cartesian
0.0000 0.0000 0.0000 Li
3.0502 3.0502 3.0502 Re
1.5251 1.5251 1.5251 Ge
4.5753 4.5753 4.5753 W
```

---

<b> (558 meV per atom below the next structure)

---

<a>
A plane-wave DFT calculation with PBE was carried out for LiTcGeTe after structural relaxation.

Properties
space-group type = No. 216
crystal system = cubic

```
LiTcGeTe
1.0
0.0000 3.2155 3.2155
3.2155 0.0000 3.2155
3.2155 3.2155 0.0000
Li Tc Ge Te
1 1 1 1
Cartesian
0.0000 0.0000 0.0000 Li
3.2155 3.2155 3.2155 Tc
4.8232 4.8232 4.8232 Ge
1.6078 1.6078 1.6078 Te
```

---

<b>
A plane-wave DFT calculation with PBE was carried out for LiTcGeTe after structural relaxation.

Properties
space-group type = No. 216
crystal system = cubic

```
LiTcGeTe
1.0
0.0000 3.2701 3.2701
3.2701 0.0000 3.2701
3.2701 3.2701 0.0000
Li Tc Ge Te
1 1 1 1
Cartesian
0.0000 0.0000 0.0000 Li
4.9052 4.9052 4.9052 Tc
3.2701 3.2701 3.2701 Ge
1.6351 1.6351 1.6351 Te
```

---

<a> (474 meV per atom below the next structure)

---

<a>
A plane-wave DFT calculation with PBE was carried out for LiTcGeW after structural relaxation.

Properties
space-group type = No. 216
crystal system = cubic

```
LiTcGeW
1.0
0.0000 3.0284 3.0284
3.0284 0.0000 3.0284
3.0284 3.0284 0.0000
Li Tc Ge W
1 1 1 1
Cartesian
0.0000 0.0000 0.0000 Li
1.5142 1.5142 1.5142 Tc
3.0284 3.0284 3.0284 Ge
4.5427 4.5427 4.5427 W
```

---

<b>
A plane-wave DFT calculation with PBE was carried out for LiTcGeW after structural relaxation.

Properties
space-group type = No. 216
crystal system = cubic

```
LiTcGeW
1.0
0.0000 3.0387 3.0387
3.0387 0.0000 3.0387
3.0387 3.0387 0.0000
Li Tc Ge W
1 1 1 1
Cartesian
0.0000 0.0000 0.0000 Li
3.0387 3.0387 3.0387 Tc
1.5194 1.5194 1.5194 Ge
4.5581 4.5581 4.5581 W
```

---

<b> (481 meV per atom below the next structure)

---

<a>
A plane-wave DFT calculation with PBE was carried out for LiGeW after structural relaxation.

Properties
space-group type = No. 216
crystal system = cubic

```
LiGeW
1.0
0.0000 2.9961 2.9961
2.9961 0.0000 2.9961
2.9961 2.9961 0.0000
Li Ge W
1 1 1
Cartesian
0.0000 0.0000 0.0000 Li
2.9961 2.9961 2.9961 Ge
4.4942 4.4942 4.4942 W
```

---

<b>
A plane-wave DFT calculation with PBE was carried out for LiGeW after structural relaxation.

Properties
space-group type = No. 216
crystal system = cubic

```
LiGeW
1.0
0.0000 2.9487 2.9487
2.9487 0.0000 2.9487
2.9487 2.9487 0.0000
Li Ge W
1 1 1
Cartesian
0.0000 0.0000 0.0000 Li
1.4743 1.4743 1.4743 Ge
2.9487 2.9487 2.9487 W
```

---

<b> (327 meV per atom below the next structure)

---

<a>
A plane-wave DFT calculation with PBE was carried out for LuMgNiGe after structural relaxation.

Properties
space-group type = No. 216
crystal system = cubic

```
LuMgNiGe
1.0
0.0000 3.2790 3.2790
3.2790 0.0000 3.2790
3.2790 3.2790 0.0000
Lu Mg Ni Ge
1 1 1 1
Cartesian
0.0000 0.0000 0.0000 Lu
4.9185 4.9185 4.9185 Mg
3.2790 3.2790 3.2790 Ni
1.6395 1.6395 1.6395 Ge
```

---

<b>
A plane-wave DFT calculation with PBE was carried out for LuMgNiGe after structural relaxation.

Properties
space-group type = No. 216
crystal system = cubic

```
LuMgNiGe
1.0
0.0000 3.2439 3.2439
3.2439 0.0000 3.2439
3.2439 3.2439 0.0000
Lu Mg Ni Ge
1 1 1 1
Cartesian
0.0000 0.0000 0.0000 Lu
1.6219 1.6219 1.6219 Mg
4.8658 4.8658 4.8658 Ni
3.2439 3.2439 3.2439 Ge
```

---

<b> (31 meV per atom below the next structure)

---

<a>
A plane-wave DFT calculation with PBE was carried out for LuNiGeMo after structural relaxation.

Properties
space-group type = No. 216
crystal system = cubic

```
LuNiGeMo
1.0
0.0000 3.1853 3.1853
3.1853 0.0000 3.1853
3.1853 3.1853 0.0000
Lu Ni Ge Mo
1 1 1 1
Cartesian
0.0000 0.0000 0.0000 Lu
4.7780 4.7780 4.7780 Ni
3.1853 3.1853 3.1853 Ge
1.5927 1.5927 1.5927 Mo
```

---

<b>
A plane-wave DFT calculation with PBE was carried out for LuNiGeMo after structural relaxation.

Properties
space-group type = No. 216
crystal system = cubic

```
LuNiGeMo
1.0
0.0000 3.2482 3.2482
3.2482 0.0000 3.2482
3.2482 3.2482 0.0000
Lu Ni Ge Mo
1 1 1 1
Cartesian
0.0000 0.0000 0.0000 Lu
3.2482 3.2482 3.2482 Ni
1.6241 1.6241 1.6241 Ge
4.8723 4.8723 4.8723 Mo
```

---

<a> (326 meV per atom below the next structure)

---

<a>
A plane-wave DFT calculation with PBE was carried out for LuGeNO after structural relaxation.

Properties
space-group type = No. 29
crystal system = orthorhombic

```
LuGeNO
1.0
6.2865 0.0000 0.0000
0.0000 6.7074 0.0000
0.0000 0.0000 5.3152
Lu Ge N O
4 4 4 4
Cartesian
0.4799 1.0814 0.0000 Lu
2.6633 1.0814 2.6576 Lu
3.6232 5.6261 0.0000 Lu
5.8066 5.6261 2.6576 Lu
0.7221 4.4743 5.2702 Ge
2.4212 4.4743 2.6126 Ge
3.8653 2.2331 5.2702 Ge
5.5645 2.2331 2.6126 Ge
0.5257 0.8596 3.1103 N
2.6175 0.8596 0.4527 N
3.6690 5.8479 3.1103 N
5.7608 5.8479 0.4527 N
0.3585 2.9750 1.0770 O
2.7848 2.9750 3.7346 O
3.5018 3.7324 1.0770 O
5.9281 3.7324 3.7346 O
```

---

<b>
A plane-wave DFT calculation with PBE was carried out for LuGeNO after structural relaxation.

Properties
space-group type = No. 129
crystal system = tetragonal

```
LuGeNO
1.0
4.6735 0.0000 0.0000
0.0000 4.6735 0.0000
0.0000 0.0000 4.7923
Lu Ge N O
2 2 2 2
Cartesian
1.1684 3.5051 0.0000 Lu
3.5051 1.1684 0.0000 Lu
1.1684 1.1684 2.3398 Ge
3.5051 3.5051 2.4525 Ge
1.1684 1.1684 0.4206 N
3.5051 3.5051 4.3717 N
1.1684 3.5051 2.3962 O
3.5051 1.1684 2.3962 O
```

---

<c>
A plane-wave DFT calculation with PBE was carried out for LuGeNO after structural relaxation.

Properties
space-group type = No. 129
crystal system = tetragonal

```
LuGeNO
1.0
3.9773 0.0000 0.0000
0.0000 3.9773 0.0000
0.0000 0.0000 7.0325
Lu Ge N O
2 2 2 2
Cartesian
0.9943 0.9943 0.9448 Lu
2.9830 2.9830 6.0877 Lu
0.9943 2.9830 3.5163 Ge
2.9830 0.9943 3.5163 Ge
0.9943 0.9943 4.4207 N
2.9830 2.9830 2.6118 N
0.9943 2.9830 0.0000 O
2.9830 0.9943 0.0000 O
```

---

<a> (79 meV per atom below the next structure)

---

<a>
A plane-wave DFT calculation with PBE was carried out for LuGeNO after structural relaxation.

Properties
space-group type = No. 26
crystal system = orthorhombic

```
LuGeNO
1.0
3.1955 0.0000 0.0000
0.0000 5.5890 0.0000
0.0000 0.0000 5.8898
Lu Ge N O
2 2 2 2
Cartesian
0.0000 0.6627 0.0000 Lu
0.0000 4.9262 2.9449 Lu
1.5978 2.1930 3.0319 Ge
1.5978 3.3959 0.0869 Ge
0.0000 1.4476 3.7836 N
0.0000 4.1414 0.8386 N
1.5978 0.6201 1.6725 O
1.5978 4.9689 4.6174 O
```

---

<b>
A plane-wave DFT calculation with PBE was carried out for LuGeNO after structural relaxation.

Properties
space-group type = No. 26
crystal system = orthorhombic

```
LuGeNO
1.0
3.6185 0.0000 0.0000
0.0000 5.4900 0.0000
0.0000 0.0000 6.3591
Lu Ge N O
2 2 2 2
Cartesian
0.0000 1.0756 0.0000 Lu
0.0000 4.4144 3.1795 Lu
1.8093 1.5428 3.0908 Ge
1.8093 3.9472 6.2703 Ge
1.8093 2.2265 0.4364 N
1.8093 3.2635 3.6159 N
0.0000 0.7573 4.2761 O
0.0000 4.7327 1.0966 O
```

---

<a> (139 meV per atom below the next structure)

---

<a>
A plane-wave DFT calculation with PBE was carried out for NaLuGePd after structural relaxation.

Properties
space-group type = No. 216
crystal system = cubic

```
NaLuGePd
1.0
0.0000 3.4137 3.4137
3.4137 0.0000 3.4137
3.4137 3.4137 0.0000
Na Lu Ge Pd
1 1 1 1
Cartesian
0.0000 0.0000 0.0000 Na
3.4137 3.4137 3.4137 Lu
1.7068 1.7068 1.7068 Ge
5.1205 5.1205 5.1205 Pd
```

---

<b>
A plane-wave DFT calculation with PBE was carried out for NaLuGePd after structural relaxation.

Properties
space-group type = No. 216
crystal system = cubic

```
NaLuGePd
1.0
0.0000 3.3235 3.3235
3.3235 0.0000 3.3235
3.3235 3.3235 0.0000
Na Lu Ge Pd
1 1 1 1
Cartesian
0.0000 0.0000 0.0000 Na
1.6618 1.6618 1.6618 Lu
4.9853 4.9853 4.9853 Ge
3.3235 3.3235 3.3235 Pd
```

---

<b> (33 meV per atom below the next structure)

---

<a>
A plane-wave DFT calculation with PBE was carried out for LuGePO after structural relaxation.

Properties
space-group type = No. 129
crystal system = tetragonal

```
LuGePO
1.0
3.8838 0.0000 0.0000
0.0000 3.8838 0.0000
0.0000 0.0000 9.1503
Lu Ge P O
2 2 2 2
Cartesian
0.9709 0.9709 1.0379 Lu
2.9128 2.9128 8.1124 Lu
0.9709 2.9128 4.5752 Ge
2.9128 0.9709 4.5752 Ge
0.9709 0.9709 6.4544 P
2.9128 2.9128 2.6960 P
0.9709 2.9128 0.0000 O
2.9128 0.9709 0.0000 O
```

---

<b>
A plane-wave DFT calculation with PBE was carried out for LuGePO after structural relaxation.

Properties
space-group type = No. 26
crystal system = orthorhombic

```
LuGePO
1.0
3.6329 0.0000 0.0000
0.0000 6.3028 0.0000
0.0000 0.0000 6.6872
Lu Ge P O
2 2 2 2
Cartesian
0.0000 1.4372 0.0000 Lu
0.0000 4.8656 3.3436 Lu
1.8165 2.3581 3.9037 Ge
1.8165 3.9447 0.5601 Ge
0.0000 1.2782 2.7978 P
0.0000 5.0247 6.1414 P
1.8165 1.4365 5.6095 O
1.8165 4.8663 2.2660 O
```

---

<a> (55 meV per atom below the next structure)